DFT (PBE) results for crystalline Nd4PtPb at its relaxed geometry.

E_form (kJ per mole of atoms): -52.5
Spin magnetization (μB/f.u.): 0.0

Cell: 8.4820 8.4820 6.0178 Å, 101.60 101.60 115.50°
Atoms (fractional coordinates):
Nd (0.0716, 0.7012, 0.9291)
Nd (0.2058, 0.3574, 0.6505)
Nd (0.2988, 0.9284, 0.5709)
Nd (0.3574, 0.2058, 0.1505)
Nd (0.6426, 0.7942, 0.8495)
Nd (0.7012, 0.0716, 0.4291)
Nd (0.7942, 0.6426, 0.3495)
Nd (0.9284, 0.2988, 0.0709)
Pt (0.0011, 0.9989, 0.2500)
Pt (0.9989, 0.0011, 0.7500)
Pb (0.3795, 0.6205, 0.2500)
Pb (0.6205, 0.3795, 0.7500)